{"formula": "MnGaTcO6", "functional": "PBE+U", "state": "optimized geometry", "lattice_angstrom": [[-2.8975, 3.0353, -1.8377], [-3.5430, -2.3451, 1.7128], [0.3921, 5.0581, 7.7361]], "species": ["O", "Mn", "O", "Tc", "O", "O", "O", "O", "O", "O", "O", "Mn", "Tc", "O", "O", "O", "Ga", "Ga"], "frac_coords": [[0.8014, 0.1986, 0.8227], [0.0000, 0.0000, 0.0020], [0.2075, 0.7925, 0.1713], [0.5000, 0.5000, 0.1688], [0.7075, 0.7075, 0.6713], [0.6986, 0.6986, 0.3227], [0.3014, 0.3014, 0.3227], [0.2925, 0.2925, 0.6713], [0.1952, 0.8048, 0.5037], [0.8048, 0.1952, 0.5037], [0.6952, 0.6952, 0.0037], [0.5000, 0.5000, 0.5020], [0.0000, 0.0000, 0.6688], [0.7925, 0.2075, 0.1713], [0.3048, 0.3048, 0.0037], [0.1986, 0.8014, 0.8227], [0.5000, 0.5000, 0.8339], [0.0000, 0.0000, 0.3339]], "space_group": "P4_2nm (102)", "m_tot_mub_per_atom": 0.56, "dft_energy_ev_per_atom": -7.086}